This record from Alexandria via LeMat-Bulk describes a relaxed structure of AgAu. The functional is PBEsol.

DOS at the Fermi energy (states/eV/cell): 2.27
E_form (eV/atom): -0.048
Total DFT energy (no corrections) (eV/atom): -3.67
V (Å³ per atom): 16.74

POSCAR file:
```
AgAu
1.0
-2.2061 -3.4827 2.2811
3.1299 -3.2561 -1.9443
3.5417 0.7109 4.5107
Au Ag
4 4
Cartesian
2.7976 -0.5100 4.3600 Au
3.4790 -2.3154 2.2625 Au
1.6678 -5.5179 0.4875 Au
0.9865 -3.7125 2.5850 Au
3.4285 -5.1519 2.7491 Ag
1.0369 -0.8760 2.0984 Ag
1.7182 -2.6814 0.0008 Ag
2.7473 -3.3465 4.8467 Ag
```